1.
! TaTiCrPb2 PBE optimized geometry; values from VASP
! SG: P4/mmm
&SYSTEM
  ibrav = 0, nat = 5, ntyp = 4
/
ATOMIC_SPECIES
Pb 207.20 Pb.upf
Cr 52.00 Cr.upf
Ti 47.87 Ti.upf
Ta 180.95 Ta.upf
CELL_PARAMETERS angstrom
-0.9499 -5.3272 0.5258
-0.2299 -0.4279 -4.7505
5.3467 -0.9702 -0.1713
ATOMIC_POSITIONS angstrom
Pb 2.6733 -0.4851 -0.0857
Pb -0.4749 -2.6636 0.2629
Cr 2.0835 -3.3627 -2.1980
Ti -0.1149 -0.2140 -2.3753
Ta 0.0000 0.0000 0.0000

***

2.
! Cr2TcPb PBE optimized geometry; values from VASP
! Energy relative to the lowest polymorph listed for this composition, meV/atom: 0
! SG: P4mm
&SYSTEM
  ibrav = 0, nat = 4, ntyp = 3
/
ATOMIC_SPECIES
Cr 52.00 Cr.upf
Pb 207.20 Pb.upf
Tc 98.00 Tc.upf
CELL_PARAMETERS angstrom
-1.6561 2.4593 -0.4617
-2.4379 -1.4610 0.9624
1.4211 2.2837 7.0665
ATOMIC_POSITIONS angstrom
Cr 1.4069 2.2610 6.9960
Cr -1.7726 0.9402 1.6150
Pb 0.7235 1.1626 3.5975
Tc -0.8991 2.3439 5.9586

***

3.
! Cr2TcPb PBE optimized geometry; values from VASP
! Energy relative to the lowest polymorph listed for this composition, meV/atom: 145
! SG: C2/m
&SYSTEM
  ibrav = 0, nat = 4, ntyp = 3
/
ATOMIC_SPECIES
Cr 52.00 Cr.upf
Pb 207.20 Pb.upf
Tc 98.00 Tc.upf
CELL_PARAMETERS angstrom
4.7954 -0.0025 0.0196
3.8422 2.8694 0.0196
0.9126 0.3029 4.7238
ATOMIC_POSITIONS angstrom
Cr 8.6082 2.8571 0.4236
Cr 4.8045 1.5946 1.9969
Pb 7.1627 2.3773 3.5722
Tc 2.3876 0.7924 1.1907

***

4.
! Cr2TcPb PBE optimized geometry; values from VASP
! Energy relative to the lowest polymorph listed for this composition, meV/atom: 425
! SG: I-42d
&SYSTEM
  ibrav = 0, nat = 8, ntyp = 3
/
ATOMIC_SPECIES
Pb 207.20 Pb.upf
Cr 52.00 Cr.upf
Tc 98.00 Tc.upf
CELL_PARAMETERS angstrom
-5.3634 3.5476 3.2246
2.7729 -1.6515 6.4291
0.2291 3.3009 4.7738
ATOMIC_POSITIONS angstrom
Pb 0.0000 0.0000 0.0000
Pb -3.2148 3.8982 6.4126
Cr -2.6529 2.6406 3.8348
Cr 0.8245 0.4319 5.7923
Cr -0.6469 3.0957 7.5545
Cr -2.2476 4.2257 11.6732
Tc -1.2953 0.9480 4.8268
Tc 0.8534 1.2987 8.0148

***

5.
! Cr2TcPb PBE optimized geometry; values from VASP
! Energy relative to the lowest polymorph listed for this composition, meV/atom: 190
! SG: Cmmm
&SYSTEM
  ibrav = 0, nat = 4, ntyp = 3
/
ATOMIC_SPECIES
Cr 52.00 Cr.upf
Pb 207.20 Pb.upf
Tc 98.00 Tc.upf
CELL_PARAMETERS angstrom
-0.7274 -2.0256 4.1416
1.8148 -3.4219 -2.6043
2.8062 0.8112 0.8896
ATOMIC_POSITIONS angstrom
Cr 0.0000 0.0000 0.0000
Cr 0.5437 -2.7237 0.7687
Pb 1.0394 -0.6072 2.5156
Tc 2.3105 -1.3053 -0.8573

***

6.
! Cr2TcPb PBE optimized geometry; values from VASP
! Energy relative to the lowest polymorph listed for this composition, meV/atom: 172
! SG: R3m
&SYSTEM
  ibrav = 0, nat = 4, ntyp = 3
/
ATOMIC_SPECIES
Cr 52.00 Cr.upf
Pb 207.20 Pb.upf
Tc 98.00 Tc.upf
CELL_PARAMETERS angstrom
-1.1114 -7.4054 4.8023
1.5141 -8.0418 3.4893
1.4514 -6.4012 6.0046
ATOMIC_POSITIONS angstrom
Cr 0.0006 -0.0068 0.0044
Cr 0.4908 -5.7836 3.7844
Pb 0.9254 -10.9050 7.1355
Tc 1.3643 -16.0773 10.5199

***

7.
! Cr2TcPb PBE optimized geometry; values from VASP
! Energy relative to the lowest polymorph listed for this composition, meV/atom: 191
! SG: Immm
&SYSTEM
  ibrav = 0, nat = 4, ntyp = 3
/
ATOMIC_SPECIES
Cr 52.00 Cr.upf
Pb 207.20 Pb.upf
Tc 98.00 Tc.upf
CELL_PARAMETERS angstrom
-3.4983 3.5003 -1.2122
-3.4932 -1.4952 -3.3943
1.9720 -1.1321 4.5595
ATOMIC_POSITIONS angstrom
Cr -0.0783 0.0225 -0.0516
Cr -3.4174 0.9801 -2.2517
Pb -2.5110 1.6854 0.5220
Tc -2.5085 -0.8123 -0.5690

***

8.
! CrTcPb4 PBE optimized geometry; values from VASP
! SG: F-43m
&SYSTEM
  ibrav = 0, nat = 6, ntyp = 3
/
ATOMIC_SPECIES
Cr 52.00 Cr.upf
Tc 98.00 Tc.upf
Pb 207.20 Pb.upf
CELL_PARAMETERS angstrom
0.0000 4.4444 4.4444
4.4444 0.0000 4.4444
4.4444 4.4444 0.0000
ATOMIC_POSITIONS angstrom
Cr 0.0000 0.0000 0.0000
Tc 6.6666 6.6666 6.6666
Pb 3.3356 5.5531 5.5531
Pb 5.5531 5.5531 3.3356
Pb 5.5531 3.3356 5.5531
Pb 3.3356 3.3356 3.3356

***

9.
! Cr2TcPb PBE optimized geometry; values from VASP
! Energy relative to the lowest polymorph listed for this composition, meV/atom: 78
! SG: Cm
&SYSTEM
  ibrav = 0, nat = 4, ntyp = 3
/
ATOMIC_SPECIES
Cr 52.00 Cr.upf
Pb 207.20 Pb.upf
Tc 98.00 Tc.upf
CELL_PARAMETERS angstrom
4.8715 0.0185 0.0438
3.9057 2.9115 0.0438
1.3495 0.4505 4.5191
ATOMIC_POSITIONS angstrom
Cr 1.3983 0.4668 4.4953
Cr 7.4554 2.4887 3.6707
Pb 5.0439 1.6837 2.3195
Tc 2.6420 0.8820 0.9437

***

10.
! Cr2TcPb PBE optimized geometry; values from VASP
! Energy relative to the lowest polymorph listed for this composition, meV/atom: 201
! SG: P4/mmm
&SYSTEM
  ibrav = 0, nat = 4, ntyp = 3
/
ATOMIC_SPECIES
Cr 52.00 Cr.upf
Pb 207.20 Pb.upf
Tc 98.00 Tc.upf
CELL_PARAMETERS angstrom
3.7883 0.0000 0.0000
0.0000 4.1637 0.0000
0.0000 0.0000 4.1637
ATOMIC_POSITIONS angstrom
Cr 0.0000 0.0000 0.0000
Cr 0.0000 2.0818 2.0818
Pb 1.8941 2.0818 0.0000
Tc 1.8941 0.0000 2.0818

***

11.
! Cr2TcPb PBE optimized geometry; values from VASP
! Energy relative to the lowest polymorph listed for this composition, meV/atom: 224
! SG: Fm-3m
&SYSTEM
  ibrav = 0, nat = 4, ntyp = 3
/
ATOMIC_SPECIES
Pb 207.20 Pb.upf
Cr 52.00 Cr.upf
Tc 98.00 Tc.upf
CELL_PARAMETERS angstrom
4.1050 -1.5625 0.6503
0.8478 -4.3206 -0.5741
2.4380 -1.3436 -3.4593
ATOMIC_POSITIONS angstrom
Pb 3.6954 -3.6133 -1.6915
Cr 1.8477 -1.8067 -0.8458
Cr 5.5431 -5.4200 -2.5373
Tc 0.0000 0.0000 0.0000

***

12.
! Cr2TcPb PBE optimized geometry; values from VASP
! Energy relative to the lowest polymorph listed for this composition, meV/atom: 28
! SG: Pmmm
&SYSTEM
  ibrav = 0, nat = 4, ntyp = 3
/
ATOMIC_SPECIES
Cr 52.00 Cr.upf
Pb 207.20 Pb.upf
Tc 98.00 Tc.upf
CELL_PARAMETERS angstrom
-0.7404 2.5817 1.2865
-3.5831 -0.3283 -1.4031
-1.5697 -2.7708 4.6570
ATOMIC_POSITIONS angstrom
Cr -1.4633 -2.5829 4.3412
Cr -0.8913 -1.5733 2.6444
Pb -2.5542 0.4340 1.1060
Tc -3.3391 -0.9514 3.4345

***

DOS at the Fermi energy for the records above, in order: 5.4, 3.1, 3.9, 4.3, 4.3, 3.4, 4.1, 4.8, 3.0, 5.8, 6.6, 4.4 states/eV/f.u.
V for the records above, in order: 28.23, 17.02, 16.25, 18.14, 16.15, 17.04, 15.31, 29.26, 15.90, 16.42, 15.48, 16.22 A^3/atom
DFT formation energy for the records above, in order: 1.5958, 0.4795, 0.6246, 0.9042, 0.6692, 0.6513, 0.6703, 1.1208, 0.5579, 0.6803, 0.7031, 0.5076 eV per atom